[1]
# RbTlH2S, relaxed, DFT PBE
data_RbTlH2S
_cell_length_a 4.443
_cell_length_b 4.443
_cell_length_c 5.314
_cell_angle_alpha 90.00
_cell_angle_beta 90.00
_cell_angle_gamma 90.00
_space_group_name_H-M_alt 'P 1'
_space_group_IT_number 1
_space_group_name_Hall 'P 1'
loop_
_atom_site_label
_atom_site_type_symbol
_atom_site_fract_x
_atom_site_fract_y
_atom_site_fract_z
_atom_site_occupancy
Rb1 Rb 0.000 0.000 0.000 1
Tl1 Tl 0.500 0.500 0.500 1
H1 H 0.000 0.500 0.500 1
H2 H 0.500 0.000 0.500 1
S1 S 0.500 0.500 0.000 1
# * density of states at the Fermi level: 1.7 states/eV per cell
# * SG: P4/mmm (123)
# * total energy: -2.821 eV/atom


[2]
# RbUHS3, relaxed, DFT PBE
data_RbUHS3
_cell_length_a 9.038
_cell_length_b 3.717
_cell_length_c 9.493
_cell_angle_alpha 90.00
_cell_angle_beta 102.91
_cell_angle_gamma 90.00
_space_group_name_H-M_alt 'P 1'
_space_group_IT_number 1
_space_group_name_Hall 'P 1'
loop_
_atom_site_label
_atom_site_type_symbol
_atom_site_fract_x
_atom_site_fract_y
_atom_site_fract_z
_atom_site_occupancy
Rb1 Rb 0.175 0.250 0.257 1
Rb2 Rb 0.825 0.750 0.743 1
U1 U 0.334 0.750 0.848 1
U2 U 0.666 0.250 0.152 1
H1 H 0.267 0.250 0.590 1
H2 H 0.733 0.750 0.410 1
S1 S 0.140 0.250 0.884 1
S2 S 0.259 0.750 0.567 1
S3 S 0.447 0.750 0.141 1
S4 S 0.553 0.250 0.859 1
S5 S 0.741 0.250 0.433 1
S6 S 0.860 0.750 0.116 1
# * density of states at the Fermi level: 9.0 states/eV per cell
# * SG: P2_1/m (11)
# * total energy: -5.611 eV/atom


[3]
# Rb2UH2S4, relaxed, DFT PBE
data_Rb2UH2S4
_cell_length_a 8.942
_cell_length_b 8.942
_cell_length_c 7.385
_cell_angle_alpha 114.37
_cell_angle_beta 114.37
_cell_angle_gamma 23.47
_space_group_name_H-M_alt 'P 1'
_space_group_IT_number 1
_space_group_name_Hall 'P 1'
loop_
_atom_site_label
_atom_site_type_symbol
_atom_site_fract_x
_atom_site_fract_y
_atom_site_fract_z
_atom_site_occupancy
Rb1 Rb 0.147 0.147 0.147 1
Rb2 Rb 0.853 0.853 0.853 1
U1 U 0.000 0.000 0.500 1
H1 H 0.334 0.334 0.335 1
H2 H 0.666 0.666 0.665 1
S1 S 0.171 0.171 0.670 1
S2 S 0.500 0.500 0.243 1
S3 S 0.500 0.500 0.757 1
S4 S 0.829 0.829 0.330 1
# * density of states at the Fermi level: 2.7 states/eV per cell
# * SG: C2/m (12)
# * total energy: -4.867 eV/atom


[4]
# RbZrHS2, relaxed, DFT PBE
data_RbZrHS2
_cell_length_a 4.912
_cell_length_b 4.912
_cell_length_c 3.725
_cell_angle_alpha 90.00
_cell_angle_beta 90.00
_cell_angle_gamma 90.00
_space_group_name_H-M_alt 'P 1'
_space_group_IT_number 1
_space_group_name_Hall 'P 1'
loop_
_atom_site_label
_atom_site_type_symbol
_atom_site_fract_x
_atom_site_fract_y
_atom_site_fract_z
_atom_site_occupancy
Rb1 Rb 0.000 0.000 0.000 1
Zr1 Zr 0.500 0.500 0.000 1
H1 H 0.000 0.000 0.500 1
S1 S 0.000 0.500 0.500 1
S2 S 0.500 0.000 0.500 1
# * density of states at the Fermi level: 2.4 states/eV per cell
# * SG: P4/mmm (123)
# * total energy: -3.991 eV/atom


[5]
# RbZrHS2, relaxed, DFT PBE
data_RbZrHS2
_cell_length_a 5.082
_cell_length_b 5.082
_cell_length_c 4.260
_cell_angle_alpha 90.00
_cell_angle_beta 90.00
_cell_angle_gamma 90.00
_space_group_name_H-M_alt 'P 1'
_space_group_IT_number 1
_space_group_name_Hall 'P 1'
loop_
_atom_site_label
_atom_site_type_symbol
_atom_site_fract_x
_atom_site_fract_y
_atom_site_fract_z
_atom_site_occupancy
Rb1 Rb 0.000 0.000 0.000 1
Zr1 Zr 0.500 0.500 0.500 1
H1 H 0.500 0.500 0.000 1
S1 S 0.000 0.500 0.500 1
S2 S 0.500 0.000 0.500 1
# * density of states at the Fermi level: 0.0 states/eV per cell
# * SG: P4/mmm (123)
# * total energy: -5.272 eV/atom


[6]
# RbSbH, relaxed, DFT PBE
data_RbSbH
_cell_length_a 5.077
_cell_length_b 5.751
_cell_length_c 7.197
_cell_angle_alpha 66.84
_cell_angle_beta 86.12
_cell_angle_gamma 89.95
_space_group_name_H-M_alt 'P 1'
_space_group_IT_number 1
_space_group_name_Hall 'P 1'
loop_
_atom_site_label
_atom_site_type_symbol
_atom_site_fract_x
_atom_site_fract_y
_atom_site_fract_z
_atom_site_occupancy
Rb1 Rb 0.240 0.124 0.246 1
Rb2 Rb 0.760 0.876 0.754 1
Sb1 Sb 0.290 0.422 0.661 1
Sb2 Sb 0.710 0.578 0.339 1
H1 H 0.466 0.663 0.161 1
H2 H 0.534 0.337 0.839 1
# * density of states at the Fermi level: 0.1 states/eV per cell
# * SG: P-1 (2)
# * total energy: -3.017 eV/atom